Entry 1:
SnAsCl | GGA-PBE | relaxed

```
data_SnAsCl
_cell_length_a 4.304
_cell_length_b 3.884
_cell_length_c 9.716
_cell_angle_alpha 90.00
_cell_angle_beta 92.54
_cell_angle_gamma 90.00
_symmetry_space_group_name_H-M 'P 1 21/m 1'
_symmetry_Int_Tables_number 11
_symmetry_space_group_name_Hall '-P 2yb'
loop_
_atom_site_label
_atom_site_fract_x
_atom_site_fract_y
_atom_site_fract_z
Sn1 0.087 0.250 0.245
As1 0.310 0.750 0.001
Cl1 0.266 0.250 0.639
```

Results
Total moment   0.000 μB/f.u.
ΔE to the lowest computed polymorph   0.0302 eV/atom
ΔE_f (raw)   -433 meV/atom

***

Entry 2:
Er4Al3 | GGA-PBE | relaxed

```
data_Er4Al3
_cell_length_a 13.6020
_cell_length_b 13.6020
_cell_length_c 6.3032
_cell_angle_alpha 90.00
_cell_angle_beta 90.00
_cell_angle_gamma 120.00
_symmetry_space_group_name_H-M 'R -3'
_symmetry_Int_Tables_number 148
_symmetry_space_group_name_Hall '-R 3'
loop_
_atom_site_label
_atom_site_fract_x
_atom_site_fract_y
_atom_site_fract_z
Er1 0.0000 0.0000 0.0000
Er2 0.0000 0.0000 0.5000
Er3 0.0514 0.2503 0.1757
Al1 0.0485 0.2271 0.6893
```

Results
Total moment   0.001 μB/f.u.
Calculated formation energy   -0.3150 eV/atom

***

Entry 3:
PuMn2SiGe | GGA-PBE | relaxed

```
data_PuMn2SiGe
_cell_length_a 5.504
_cell_length_b 10.697
_cell_length_c 5.503
_cell_angle_alpha 90.00
_cell_angle_beta 90.00
_cell_angle_gamma 90.00
_symmetry_space_group_name_H-M 'C m c m'
_symmetry_Int_Tables_number 63
_symmetry_space_group_name_Hall '-C 2c 2'
loop_
_atom_site_label
_atom_site_fract_x
_atom_site_fract_y
_atom_site_fract_z
Pu1 0.000 0.250 0.250
Mn1 0.245 0.000 0.000
Si1 0.000 0.128 0.750
Ge1 0.000 0.366 0.750
```

Results
Total moment   8.656 μB/f.u.
ΔE_f (raw)   -343 meV/atom

***

Entry 4:
Co2Ru | GGA-PBE | relaxed

```
data_Co2Ru
_cell_length_a 4.0257
_cell_length_b 4.0257
_cell_length_c 2.5483
_cell_angle_alpha 90.00
_cell_angle_beta 90.00
_cell_angle_gamma 120.00
_symmetry_space_group_name_H-M 'P 6/m m m'
_symmetry_Int_Tables_number 191
_symmetry_space_group_name_Hall '-P 6 2'
loop_
_atom_site_label
_atom_site_fract_x
_atom_site_fract_y
_atom_site_fract_z
Co1 0.3333 0.6667 0.0000
Ru1 0.0000 0.0000 0.5000
```

Results
Total moment   2.542 μB/f.u.
ΔE to the lowest computed polymorph   0.0705 eV/atom
Calculated formation energy   0.1935 eV/atom

***

Entry 5:
TePtPb | GGA-PBE | relaxed

```
data_TePtPb
_cell_length_a 5.703
_cell_length_b 4.102
_cell_length_c 6.764
_cell_angle_alpha 90.00
_cell_angle_beta 91.59
_cell_angle_gamma 90.00
_symmetry_space_group_name_H-M 'P 1 21/m 1'
_symmetry_Int_Tables_number 11
_symmetry_space_group_name_Hall '-P 2yb'
loop_
_atom_site_label
_atom_site_fract_x
_atom_site_fract_y
_atom_site_fract_z
Te1 0.221 0.250 0.093
Pt1 0.495 0.750 0.217
Pb1 0.246 0.750 0.581
```

Results
Total moment   0.000 μB/f.u.
ΔE to the lowest computed polymorph   0.1098 eV/atom
ΔE_f (raw)   -249 meV/atom

***

Entry 6:
Si3Sb | GGA-PBE | relaxed

```
data_Si3Sb
_cell_length_a 6.5496
_cell_length_b 6.5496
_cell_length_c 4.0388
_cell_angle_alpha 90.00
_cell_angle_beta 90.00
_cell_angle_gamma 120.00
_symmetry_space_group_name_H-M 'P 63/m m c'
_symmetry_Int_Tables_number 194
_symmetry_space_group_name_Hall '-P 6c 2c'
loop_
_atom_site_label
_atom_site_fract_x
_atom_site_fract_y
_atom_site_fract_z
Si1 0.1402 0.2804 0.2500
Sb1 0.3333 0.6667 0.7500
```

Results
Total moment   0.000 μB/f.u.
ΔE to the lowest computed polymorph   0.1944 eV/atom
ΔE_f (raw)   532 meV/atom